A relaxed NbGeAs2 crystal. Source: Alexandria, functional GGA-PBE.

ΔE_f (eV per atom): -0.159
D(E_F) (states/eV/cell): 4.55
SG: No. 8

a b c (Å): 4.1453 3.5864 9.8465
angles (deg): 90.00 90.08 90.00
Closest atoms and distances in Å follow each position.
Fractional coordinates of all 8 atoms:
As (0.4442, 0.0000, 0.6529)  1 Ge 2.46
As (0.4442, 0.5000, 0.1529)  1 Ge 2.46
As (0.9411, 0.5000, 0.4341)  3 Nb 2.73-2.86, 4 Ge 2.75-2.77
As (0.9411, 0.0000, 0.9341)  3 Nb 2.73-2.86, 4 Ge 2.75-2.77
Ge (0.4442, 0.0000, 0.4027)  3 As 2.46-2.75, 2 Nb 2.71-2.72
Ge (0.4442, 0.5000, 0.9027)  3 As 2.46-2.75, 2 Nb 2.71-2.72
Nb (0.9455, 0.0000, 0.2249)  2 Ge 2.71-2.72, 7 As 2.73-2.86
Nb (0.9455, 0.5000, 0.7249)  2 Ge 2.71-2.72, 7 As 2.73-2.86